First-principles (GGA-PBE) data for a geometry-optimized ErGaPt2 structure, as listed in Alexandria via LeMat-Bulk.

abc: 14.4554 7.2323 5.5454
angles: 90.00 90.00 90.00
Atoms (fractional coordinates):
Er (0.1130, 0.2500, 0.2325)
Er (0.1367, 0.7500, 0.0048)
Er (0.3633, 0.2500, 0.5048)
Er (0.3870, 0.7500, 0.7325)
Er (0.6130, 0.2500, 0.2675)
Er (0.6367, 0.7500, 0.4952)
Er (0.8633, 0.2500, 0.9952)
Er (0.8870, 0.7500, 0.7675)
Ga (0.0666, 0.7500, 0.5141)
Ga (0.1810, 0.2500, 0.7391)
Ga (0.3190, 0.7500, 0.2391)
Ga (0.4334, 0.2500, 0.0141)
Ga (0.5666, 0.7500, 0.9859)
Ga (0.6810, 0.2500, 0.7609)
Ga (0.8190, 0.7500, 0.2609)
Ga (0.9334, 0.2500, 0.4859)
Pt (0.0323, 0.0479, 0.7661)
Pt (0.0323, 0.4521, 0.7661)
Pt (0.2165, 0.5526, 0.5235)
Pt (0.2165, 0.9474, 0.5235)
Pt (0.2835, 0.0526, 0.0235)
Pt (0.2835, 0.4474, 0.0235)
Pt (0.4677, 0.5479, 0.2661)
Pt (0.4677, 0.9521, 0.2661)
Pt (0.5323, 0.0479, 0.7339)
Pt (0.5323, 0.4521, 0.7339)
Pt (0.7165, 0.5526, 0.9765)
Pt (0.7165, 0.9474, 0.9765)
Pt (0.7835, 0.0526, 0.4765)
Pt (0.7835, 0.4474, 0.4765)
Pt (0.9677, 0.5479, 0.2339)
Pt (0.9677, 0.9521, 0.2339)

- Raw total energy: -5.9859 eV/atom
- SG: Pnma, No. 62
- Formation enthalpy at 0 K: -4.27 eV per formula unit
- Fermi-level density of states: 11.628 states/eV/cell